Compound: NaSmCoF6
Source: Alexandria
Functional: GGA+U
Structure: relaxed

The structure in POSCAR format:
```
NaSmCoF6
1.0
5.7647 0.0000 0.0000
-2.8824 4.9924 0.0000
0.0000 0.0000 9.4451
Na Sm Co F
2 2 2 12
Direct
0.0000 0.0000 0.0000
0.0000 0.0000 0.5000
0.3333 0.6667 0.2500
0.6667 0.3333 0.7500
0.3333 0.6667 0.7500
0.6667 0.3333 0.2500
0.0258 0.3644 0.6341
0.0258 0.6615 0.8659
0.3385 0.3644 0.8659
0.3385 0.9742 0.6341
0.3644 0.0258 0.1341
0.3644 0.3385 0.3659
0.6356 0.6615 0.6341
0.6356 0.9742 0.8659
0.6615 0.0258 0.3659
0.6615 0.6356 0.1341
0.9742 0.3385 0.1341
0.9742 0.6356 0.3659
```

total magnetic moment = 3.00 μB per formula unit
crystal system = trigonal
final energy = -100.317 eV per cell